[1]
This record from the Alexandria database describes SrSbPd2Ru after structural relaxation. The functional is PBE.

Geometry as POSCAR:
```
SrSbPd2Ru
1.0
4.876 0.000 0.000
0.000 5.450 0.000
0.000 0.000 4.876
Sb Sr Pd Ru
1 1 2 1
Direct
0.500 0.500 0.500
0.000 0.500 0.000
0.000 0.000 0.500
0.500 0.000 0.000
0.000 0.000 0.000
```

Output
**Electronic total energy**: -22.0 eV for the cell shown
**Formation energy from raw total energies**: 3.4 eV/f.u.



[2]
This record from the Alexandria database describes SbTe2PdRu after structural relaxation. The functional is PBE.

Geometry as POSCAR:
```
SbTe2PdRu
1.0
-2.195 -1.198 -4.580
4.330 -2.549 -1.408
-1.838 -4.218 1.984
Sb Te Pd Ru
1 2 1 1
Direct
0.000 0.000 0.500
0.000 0.500 0.000
0.500 0.000 0.000
0.000 0.000 0.000
0.500 0.500 0.500
```

Output
**Electronic total energy**: -19.8 eV for the cell shown
**Energy above the most stable polymorph in this dataset**: 379.8 meV/atom
**Formation energy from raw total energies**: 5.1 eV/f.u.



[3]
This record from the Alexandria database describes SbTe2PdRu after structural relaxation. The functional is PBE.

Geometry as POSCAR:
```
SbTe2PdRu
1.0
-4.389 -0.185 2.814
-1.705 -3.973 -2.920
2.144 -3.223 3.133
Sb Te Pd Ru
1 2 1 1
Direct
0.000 0.000 0.500
0.000 0.500 0.000
0.500 0.000 0.000
0.500 0.500 0.500
0.000 0.000 0.000
```

Output
**Electronic total energy**: -21.7 eV for the cell shown
**Energy above the most stable polymorph in this dataset**: 0.0 meV/atom
**Formation energy from raw total energies**: 3.2 eV/f.u.



[4]
This record from the Alexandria database describes TiSbPdRu after structural relaxation. The functional is PBE.

Geometry as POSCAR:
```
TiSbPdRu
1.0
-2.465 -3.287 -1.906
-2.215 -2.970 2.605
-4.521 0.130 0.241
Sb Ti Pd Ru
1 1 1 1
Direct
0.750 0.750 0.750
0.250 0.250 0.250
0.500 0.500 0.500
0.000 0.000 0.000
```

Output
**Electronic total energy**: -28.0 eV for the cell shown
**Formation energy from raw total energies**: -1.5 eV/f.u.



[5]
This record from the Alexandria database describes ZnSbPdRu after structural relaxation. The functional is PBE.

Geometry as POSCAR:
```
ZnSbPdRu
1.0
4.491 0.000 0.000
2.246 3.889 0.000
2.246 1.296 3.667
Sb Zn Pd Ru
1 1 1 1
Direct
0.500 0.500 0.500
0.000 0.000 0.000
0.250 0.250 0.250
0.750 0.750 0.750
```

Output
**Electronic total energy**: -20.5 eV for the cell shown
**Formation energy from raw total energies**: -0.6 eV/f.u.



[6]
This record from the Alexandria database describes ScPdRu2 after structural relaxation. The functional is PBE.

Geometry as POSCAR:
```
ScPdRu2
1.0
0.000 3.152 3.152
3.152 0.000 3.152
3.152 3.152 0.000
Sc Ru Pd
1 2 1
Direct
0.000 0.000 0.000
0.250 0.250 0.250
0.750 0.750 0.750
0.500 0.500 0.500
```

Output
**Electronic total energy**: -30.1 eV for the cell shown
**E_form**: 0.005 eV/atom